No. 1
Compound: TbSc2Cu2
Source: Alexandria via LeMat-Bulk
Functional: GGA-PBE
Structure: optimized geometry

Cell: 3.344 4.876 12.535 Å, 90.00 97.65 90.00°
Space group P2_1/m (No. 11)
One atom of each set of equivalent atoms:
1 Tb 0.142 0.250 0.284 (multiplicity 2)
2 Sc 0.046 0.750 0.092 (multiplicity 2)
3 Sc 0.232 0.750 0.464 (multiplicity 2)
4 Cu 0.359 0.250 0.717 (multiplicity 2)
5 Cu 0.459 0.750 0.918 (multiplicity 2)

Calculated values
The calculation puts the total energy at -52.7 eV per cell. The mass density comes out at 6.16 Mg/m³.



No. 2
Compound: TbSc2Cu
Source: Alexandria via LeMat-Bulk
Functional: GGA-PBE
Structure: optimized geometry

Cell: 3.323 3.323 8.223 Å, 90.00 90.00 90.00°
Space group P4/mmm (No. 123)
One atom of each set of equivalent atoms:
1 Tb 0.000 0.000 0.000 (multiplicity 1)
2 Sc 0.500 0.500 0.308 (multiplicity 2)
3 Cu 0.000 0.000 0.500 (multiplicity 1)

Calculated values
The calculation puts the total energy at -21.7 eV per cell. The mass density comes out at 5.71 Mg/m³. Its excess energy over the best structure of this formula in the dataset is 26 meV/atom.



No. 3
Compound: Tb2ScCu
Source: Alexandria via LeMat-Bulk
Functional: GGA-PBE
Structure: optimized geometry

Cell: 3.3460 3.3460 32.3204 Å, 90.00 90.00 120.00°
Space group R-3m (No. 166, hexagonal axes)
One atom of each set of equivalent atoms:
1 Tb 0.0000 0.0000 0.0994 (multiplicity 6)
2 Sc 0.0000 0.0000 0.0000 (multiplicity 3)
3 Cu 0.0000 0.0000 0.5000 (multiplicity 3)

Calculated values
The calculation puts the total energy at -55.6 eV per cell. The mass density comes out at 6.78 Mg/m³. Its excess energy over the best structure of this formula in the dataset is 362 meV/atom.



No. 4
Compound: TbSc2Cu
Source: Alexandria via LeMat-Bulk
Functional: GGA-PBE
Structure: optimized geometry

Cell: 6.386 9.538 6.054 Å, 90.00 90.00 90.00°
Space group Pnma (No. 62)
One atom of each set of equivalent atoms:
1 Tb 0.001 0.250 0.121 (multiplicity 4)
2 Sc 0.177 0.549 0.316 (multiplicity 8)
3 Cu 0.097 0.250 0.578 (multiplicity 4)

Calculated values
The calculation puts the total energy at -87.3 eV per cell. The mass density comes out at 5.63 Mg/m³. Its excess energy over the best structure of this formula in the dataset is 0 meV/atom.



Repeat the second record exactly.
Compound: TbSc2Cu
Source: Alexandria via LeMat-Bulk
Functional: GGA-PBE
Structure: optimized geometry

Cell: 3.323 3.323 8.223 Å, 90.00 90.00 90.00°
Space group P4/mmm (No. 123)
One atom of each set of equivalent atoms:
1 Tb 0.000 0.000 0.000 (multiplicity 1)
2 Sc 0.500 0.500 0.308 (multiplicity 2)
3 Cu 0.000 0.000 0.500 (multiplicity 1)

Calculated values
The calculation puts the total energy at -21.7 eV per cell. The mass density comes out at 5.71 Mg/m³. Its excess energy over the best structure of this formula in the dataset is 26 meV/atom.



mass density of number 3 (Tb2ScCu)? 6.78 Mg/m³



Look up the mass density of the third one. 6.78 Mg/m³



What is the mass density in the second record? 5.71 Mg/m³